A plane-wave DFT calculation with GGA-PBE was carried out for RbSm2I6 after structural relaxation.

```
RbSm2I6
1.0
7.8142 0.0000 0.0000
-3.9071 6.7673 0.0000
0.0000 0.0000 8.7186
Rb Sm I
1 2 6
Direct
0.0000 0.0000 0.0000
0.3333 0.6667 0.5000
0.6667 0.3333 0.5000
0.0000 0.3553 0.7132
0.0000 0.6447 0.2868
0.3553 0.0000 0.7132
0.3553 0.3553 0.2868
0.6447 0.0000 0.2868
0.6447 0.6447 0.7132
```

Output
Calculated density, g cm⁻³: 4.1
Raw formation energy, meV per atom: -1350



A plane-wave DFT calculation with GGA-PBE was carried out for K2ZnTc after structural relaxation.

```
K2ZnTc
1.0
4.3201 0.0000 0.0000
0.0000 5.8043 0.0000
0.0000 0.0000 10.6817
K Zn Tc
4 2 2
Direct
0.0000 0.0000 0.0000
0.0000 0.5000 0.1952
0.5000 0.0000 0.6952
0.5000 0.5000 0.5000
0.0000 0.0000 0.4107
0.5000 0.5000 0.9107
0.0000 0.5000 0.7960
0.5000 0.0000 0.2960
```

Output
Calculated density, g cm⁻³: 3.0
ΔH_f (0 K), meV/atom: 921